No. 1
{
  "formula": "BaTeCl2",
  "functional": "GGA-PBE",
  "state": "relaxed",
  "crystal_system": "trigonal",
  "space_group": "R-3m, No. 166",
  "lattice": [[2.3369, 1.3492, 10.1608], [-2.3369, 1.3492, 10.1608], [0.0000, -2.6984, 10.1608]],
  "species": ["Ba", "Te", "Cl", "Cl"],
  "fractional_positions": [[0.0000, 0.0000, 0.0000], [0.5000, 0.5000, 0.5000], [0.3813, 0.3813, 0.3813], [0.6187, 0.6187, 0.6187]]
}

***

No. 2
{
  "formula": "BaTeCl2",
  "functional": "GGA-PBE",
  "state": "relaxed",
  "crystal_system": "tetragonal",
  "space_group": "I-4m2, No. 119",
  "lattice": [[-2.2234, 2.2234, 6.0844], [2.2234, -2.2234, 6.0844], [2.2234, 2.2234, -6.0844]],
  "species": ["Ba", "Te", "Cl", "Cl"],
  "fractional_positions": [[0.0000, 0.0000, 0.0000], [0.7500, 0.2500, 0.5000], [0.2500, 0.7500, 0.5000], [0.5000, 0.5000, 0.0000]]
}

***

no.,uncorrected formation energy (eV/atom)
1,-1.328
2,-1.347